Entry 1:
# Hg2PRhAu

Hg2PRhAu after structural relaxation (GGA-PBE, the Alexandria database).

## Properties
- crystal system = tetragonal
- symmetry = P4/mmm (123)
- uncorrected energy (eV/atom) = -2.279
- total magnetization (μB/cell) = 0.00

Cell: 5.257 5.257 4.598 Å, 90.00 90.00 90.00°
Element x y z (fractional)
Hg 0.000 0.500 0.000
Hg 0.500 0.000 0.000
P 0.000 0.000 0.500
Rh 0.500 0.500 0.500
Au 0.000 0.000 0.000

=====

Entry 2:
# TcHg2PAu

TcHg2PAu after structural relaxation (GGA-PBE, the Alexandria database).

## Properties
- crystal system = tetragonal
- symmetry = P4/mmm (123)
- uncorrected energy (eV/atom) = -2.842
- total magnetization (μB/cell) = 4.08

Cell: 5.136 5.136 4.626 Å, 90.00 90.00 90.00°
Element x y z (fractional)
Tc 0.000 0.000 0.000
Hg 0.000 0.500 0.500
Hg 0.500 0.000 0.500
P 0.500 0.500 0.500
Au 0.500 0.500 0.000

=====

Entry 3:
# HgTe2PAu

HgTe2PAu after structural relaxation (GGA-PBE, the Alexandria database).

## Properties
- crystal system = tetragonal
- symmetry = P4/mmm (123)
- formation energy (no corrections) (meV/atom) = 557
- uncorrected energy (eV/atom) = -2.498
- total magnetization (μB/cell) = 0.00

Cell: 5.286 5.286 4.975 Å, 90.00 90.00 90.00°
Element x y z (fractional)
Hg 0.000 0.000 0.000
Te 0.000 0.500 0.500
Te 0.500 0.000 0.500
P 0.000 0.000 0.500
Au 0.500 0.500 0.000

=====

Entry 4:
# Ti2HgPAu

Ti2HgPAu after structural relaxation (GGA-PBE, the Alexandria database).

## Properties
- crystal system = tetragonal
- symmetry = P4/mmm (123)
- uncorrected energy (eV/atom) = -3.747
- total magnetization (μB/cell) = 1.40

Cell: 5.049 5.049 4.995 Å, 90.00 90.00 90.00°
Element x y z (fractional)
Ti 0.000 0.500 0.000
Ti 0.500 0.000 0.000
Hg 0.000 0.000 0.000
P 0.500 0.500 0.500
Au 0.000 0.000 0.500

=====

Entry 5:
# VHg2PAu

VHg2PAu after structural relaxation (GGA-PBE, the Alexandria database).

## Properties
- crystal system = tetragonal
- symmetry = P4/mmm (123)
- uncorrected energy (eV/atom) = -3.166
- total magnetization (μB/cell) = 2.82

Cell: 5.045 5.045 4.597 Å, 90.00 90.00 90.00°
Element x y z (fractional)
V 0.000 0.000 0.000
Hg 0.000 0.500 0.500
Hg 0.500 0.000 0.500
P 0.000 0.000 0.500
Au 0.500 0.500 0.000

=====

Entry 6:
# PaHgAu

PaHgAu after structural relaxation (GGA-PBE, the Alexandria database).

## Properties
- crystal system = tetragonal
- symmetry = I4mm (107)
- relative energy among the computed polymorphs (meV per atom) = 569
- uncorrected energy (eV/atom) = -4.008
- total magnetization (μB/cell) = 0.63

Cell: 8.739 8.739 8.739 Å, 160.91 160.91 27.13°
Element x y z (fractional)
Pa 0.000 0.000 0.000
Hg 0.656 0.656 0.000
Au 0.828 0.828 0.000

=====

Entry 7:
# PaHgAu

PaHgAu after structural relaxation (GGA-PBE, the Alexandria database).

## Properties
- crystal system = hexagonal
- symmetry = P-6m2 (187)
- relative energy among the computed polymorphs (meV per atom) = 0
- uncorrected energy (eV/atom) = -4.577
- total magnetization (μB/cell) = 0.49

Cell: 4.916 4.916 3.185 Å, 90.00 90.00 120.00°
Element x y z (fractional)
Pa 0.000 0.000 0.000
Hg 0.333 0.667 0.500
Au 0.667 0.333 0.500

=====

Entry 8:
# Pa2HgAu

Pa2HgAu after structural relaxation (GGA-PBE, the Alexandria database).

## Properties
- crystal system = trigonal
- symmetry = R-3m (166)
- relative energy among the computed polymorphs (meV per atom) = 30
- uncorrected energy (eV/atom) = -5.714
- total magnetization (μB/cell) = 0.00

Cell: 10.874 10.874 10.874 Å, 16.74 16.74 16.74°
Element x y z (fractional)
Pa 0.247 0.247 0.247
Pa 0.753 0.753 0.753
Hg 0.000 0.000 0.000
Au 0.500 0.500 0.500

=====

Entry 9:
# Pa2HgAu

Pa2HgAu after structural relaxation (GGA-PBE, the Alexandria database).

## Properties
- crystal system = tetragonal
- symmetry = P4/mmm (123)
- relative energy among the computed polymorphs (meV per atom) = 158
- uncorrected energy (eV/atom) = -5.587
- total magnetization (μB/cell) = 1.49

Cell: 5.586 5.586 3.105 Å, 90.00 90.00 90.00°
Element x y z (fractional)
Pa 0.000 0.500 0.000
Pa 0.500 0.000 0.000
Hg 0.000 0.000 0.500
Au 0.500 0.500 0.500

=====

Entry 10:
# Pa2HgAu

Pa2HgAu after structural relaxation (GGA-PBE, the Alexandria database).

## Properties
- crystal system = tetragonal
- symmetry = P4/mmm (123)
- relative energy among the computed polymorphs (meV per atom) = 0
- uncorrected energy (eV/atom) = -5.745
- total magnetization (μB/cell) = 0.00

Cell: 3.198 3.198 9.071 Å, 90.00 90.00 90.00°
Element x y z (fractional)
Pa 0.000 0.000 0.239
Pa 0.000 0.000 0.761
Hg 0.500 0.500 0.500
Au 0.500 0.500 0.000

=====

Entry 11:
# PaHgAu

PaHgAu after structural relaxation (GGA-PBE, the Alexandria database).

## Properties
- crystal system = cubic
- symmetry = F-43m (216)
- relative energy among the computed polymorphs (meV per atom) = 133
- uncorrected energy (eV/atom) = -4.444
- total magnetization (μB/cell) = 0.00

Cell: 4.779 4.779 4.779 Å, 60.00 60.00 60.00°
Element x y z (fractional)
Pa 0.000 0.000 0.000
Hg 0.500 0.500 0.500
Au 0.250 0.250 0.250

=====

Entry 12:
# Pa2HgAu3

Pa2HgAu3 after structural relaxation (GGA-PBE, the Alexandria database).

## Properties
- crystal system = orthorhombic
- symmetry = Imm2 (44)
- uncorrected energy (eV/atom) = -5.019
- total magnetization (μB/cell) = 2.60

Cell: 9.816 9.816 9.816 Å, 160.92 152.48 33.70°
Element x y z (fractional)
Pa 0.000 0.000 0.000
Pa 0.716 0.216 0.500
Hg 0.411 0.411 0.000
Au 0.144 0.644 0.500
Au 0.291 0.791 0.500
Au 0.565 0.565 0.000

=====

Entry 13:
# PaHgAu4

PaHgAu4 after structural relaxation (GGA-PBE, the Alexandria database).

## Properties
- crystal system = cubic
- symmetry = F-43m (216)
- uncorrected energy (eV/atom) = -3.961
- total magnetization (μB/cell) = 1.16

Cell: 5.613 5.613 5.613 Å, 60.00 60.00 60.00°
Element x y z (fractional)
Pa 0.000 0.000 0.000
Hg 0.750 0.750 0.750
Au 0.375 0.375 0.375
Au 0.375 0.375 0.874
Au 0.375 0.874 0.375
Au 0.874 0.375 0.375

=====

Entry 14:
# Pa2HgAu

Pa2HgAu after structural relaxation (GGA-PBE, the Alexandria database).

## Properties
- crystal system = cubic
- symmetry = Fm-3m (225)
- relative energy among the computed polymorphs (meV per atom) = 195
- uncorrected energy (eV/atom) = -5.550
- total magnetization (μB/cell) = 3.14

Cell: 5.191 5.191 5.191 Å, 60.00 60.00 60.00°
Element x y z (fractional)
Pa 0.250 0.250 0.250
Pa 0.750 0.750 0.750
Hg 0.000 0.000 0.000
Au 0.500 0.500 0.500

=====

Entry 15:
# PaHgPtAu

PaHgPtAu after structural relaxation (GGA-PBE, the Alexandria database).

## Properties
- crystal system = cubic
- symmetry = F-43m (216)
- uncorrected energy (eV/atom) = -5.245
- total magnetization (μB/cell) = 0.00

Cell: 4.912 4.912 4.912 Å, 60.00 60.00 60.00°
Element x y z (fractional)
Pa 0.000 0.000 0.000
Hg 0.500 0.500 0.500
Pt 0.750 0.750 0.750
Au 0.250 0.250 0.250

=====

Entry 16:
# PuPaHgAu

PuPaHgAu after structural relaxation (GGA-PBE, the Alexandria database).

## Properties
- crystal system = cubic
- symmetry = F-43m (216)
- uncorrected energy (eV/atom) = -6.920
- total magnetization (μB/cell) = 7.28

Cell: 5.198 5.198 5.198 Å, 60.00 60.00 60.00°
Element x y z (fractional)
Pu 0.000 0.000 0.000
Pa 0.500 0.500 0.500
Hg 0.250 0.250 0.250
Au 0.750 0.750 0.750

=====

Entry 17:
# PaHgRhAu

PaHgRhAu after structural relaxation (GGA-PBE, the Alexandria database).

## Properties
- crystal system = cubic
- symmetry = F-43m (216)
- uncorrected energy (eV/atom) = -5.431
- total magnetization (μB/cell) = 0.00

Cell: 4.872 4.872 4.872 Å, 60.00 60.00 60.00°
Element x y z (fractional)
Pa 0.000 0.000 0.000
Hg 0.500 0.500 0.500
Rh 0.250 0.250 0.250
Au 0.750 0.750 0.750

=====

Entry 18:
# PaHgSbAu

PaHgSbAu after structural relaxation (GGA-PBE, the Alexandria database).

## Properties
- crystal system = cubic
- symmetry = F-43m (216)
- formation energy (no corrections) (meV/atom) = -151
- uncorrected energy (eV/atom) = -4.451
- total magnetization (μB/cell) = 0.29

Cell: 5.134 5.134 5.134 Å, 60.00 60.00 60.00°
Element x y z (fractional)
Pa 0.000 0.000 0.000
Hg 0.500 0.500 0.500
Sb 0.750 0.750 0.750
Au 0.250 0.250 0.250

=====

Entry 19:
# SmPaHgAu

SmPaHgAu after structural relaxation (GGA-PBE, the Alexandria database).

## Properties
- crystal system = cubic
- symmetry = F-43m (216)
- uncorrected energy (eV/atom) = -4.650
- total magnetization (μB/cell) = 1.85

Cell: 5.237 5.237 5.237 Å, 60.00 60.00 60.00°
Element x y z (fractional)
Sm 0.000 0.000 0.000
Pa 0.500 0.500 0.500
Hg 0.750 0.750 0.750
Au 0.250 0.250 0.250

=====

Entry 20:
# TbPaHgAu

TbPaHgAu after structural relaxation (GGA-PBE, the Alexandria database).

## Properties
- crystal system = cubic
- symmetry = F-43m (216)
- uncorrected energy (eV/atom) = -4.649
- total magnetization (μB/cell) = 1.63

Cell: 5.199 5.199 5.199 Å, 60.00 60.00 60.00°
Element x y z (fractional)
Tb 0.000 0.000 0.000
Pa 0.500 0.500 0.500
Hg 0.250 0.250 0.250
Au 0.750 0.750 0.750

=====

Entry 21:
# ThPaHgAu

ThPaHgAu after structural relaxation (GGA-PBE, the Alexandria database).

## Properties
- crystal system = cubic
- symmetry = F-43m (216)
- uncorrected energy (eV/atom) = -5.228
- total magnetization (μB/cell) = 2.00

Cell: 5.266 5.266 5.266 Å, 60.00 60.00 60.00°
Element x y z (fractional)
Th 0.000 0.000 0.000
Pa 0.500 0.500 0.500
Hg 0.750 0.750 0.750
Au 0.250 0.250 0.250

=====

Entry 22:
# PaTlHgAu

PaTlHgAu after structural relaxation (GGA-PBE, the Alexandria database).

## Properties
- crystal system = cubic
- symmetry = F-43m (216)
- uncorrected energy (eV/atom) = -3.908
- total magnetization (μB/cell) = 0.77

Cell: 5.112 5.112 5.112 Å, 60.00 60.00 60.00°
Element x y z (fractional)
Pa 0.000 0.000 0.000
Tl 0.500 0.500 0.500
Hg 0.250 0.250 0.250
Au 0.750 0.750 0.750

=====

Entry 23:
# YPaHgAu

YPaHgAu after structural relaxation (GGA-PBE, the Alexandria database).

## Properties
- crystal system = cubic
- symmetry = F-43m (216)
- uncorrected energy (eV/atom) = -5.113
- total magnetization (μB/cell) = 1.61

Cell: 5.197 5.197 5.197 Å, 60.00 60.00 60.00°
Element x y z (fractional)
Y 0.000 0.000 0.000
Pa 0.500 0.500 0.500
Hg 0.250 0.250 0.250
Au 0.750 0.750 0.750

=====

Entry 24:
# PaZnHgAu

PaZnHgAu after structural relaxation (GGA-PBE, the Alexandria database).

## Properties
- crystal system = cubic
- symmetry = F-43m (216)
- uncorrected energy (eV/atom) = -3.721
- total magnetization (μB/cell) = 0.00

Cell: 4.946 4.946 4.946 Å, 60.00 60.00 60.00°
Element x y z (fractional)
Pa 0.000 0.000 0.000
Zn 0.500 0.500 0.500
Hg 0.250 0.250 0.250
Au 0.750 0.750 0.750

=====

Entry 25:
# HgPb2Au2

HgPb2Au2 after structural relaxation (GGA-PBE, the Alexandria database).

## Properties
- crystal system = tetragonal
- symmetry = I4/mmm (139)
- relative energy among the computed polymorphs (meV per atom) = 80
- uncorrected energy (eV/atom) = -2.807
- total magnetization (μB/cell) = 0.00

Cell: 5.781 5.781 5.781 Å, 119.85 119.85 90.27°
Element x y z (fractional)
Hg 0.000 0.000 0.000
Pb 0.250 0.750 0.500
Pb 0.750 0.250 0.500
Au 0.339 0.339 0.000
Au 0.661 0.661 0.000

=====

Entry 26:
# HgPb6Au3

HgPb6Au3 after structural relaxation (GGA-PBE, the Alexandria database).

## Properties
- crystal system = monoclinic
- symmetry = P2_1/m (11)
- uncorrected energy (eV/atom) = -3.270
- total magnetization (μB/cell) = 0.00

Cell: 11.305 4.692 11.767 Å, 90.00 112.96 90.00°
Element x y z (fractional)
Hg 0.100 0.250 0.172
Hg 0.900 0.750 0.828
Pb 0.098 0.750 0.365
Pb 0.129 0.250 0.923
Pb 0.217 0.750 0.694
Pb 0.337 0.750 0.244
Pb 0.354 0.250 0.496
Pb 0.460 0.250 0.084
Pb 0.540 0.750 0.916
Pb 0.646 0.750 0.504
Pb 0.663 0.250 0.756
Pb 0.783 0.250 0.306
Pb 0.871 0.750 0.077
Pb 0.902 0.250 0.635
Au 0.102 0.250 0.535
Au 0.296 0.750 0.972
Au 0.474 0.750 0.651
Au 0.526 0.250 0.349
Au 0.704 0.250 0.028
Au 0.898 0.750 0.465

=====

Entry 27:
# Hg3PbAu3

Hg3PbAu3 after structural relaxation (GGA-PBE, the Alexandria database).

## Properties
- crystal system = trigonal
- symmetry = R-3 (148)
- relative energy among the computed polymorphs (meV per atom) = 0
- uncorrected energy (eV/atom) = -2.034
- total magnetization (μB/cell) = 0.00

Cell: 7.039 7.039 7.039 Å, 78.87 78.87 78.87°
Element x y z (fractional)
Hg 0.219 0.219 0.562
Hg 0.219 0.562 0.219
Hg 0.438 0.781 0.781
Hg 0.562 0.219 0.219
Hg 0.781 0.438 0.781
Hg 0.781 0.781 0.438
Pb 0.117 0.117 0.117
Pb 0.883 0.883 0.883
Au 0.176 0.823 0.501
Au 0.177 0.499 0.824
Au 0.499 0.824 0.177
Au 0.501 0.176 0.823
Au 0.823 0.501 0.176
Au 0.824 0.177 0.499

=====

Entry 28:
# Hg2PbAu

Hg2PbAu after structural relaxation (GGA-PBE, the Alexandria database).

## Properties
- crystal system = orthorhombic
- symmetry = Imm2 (44)
- uncorrected energy (eV/atom) = -1.859
- total magnetization (μB/cell) = 0.00

Cell: 6.588 6.588 6.588 Å, 146.78 138.24 54.37°
Element x y z (fractional)
Hg 0.000 0.000 0.000
Hg 0.691 0.191 0.500
Pb 0.294 0.794 0.500
Au 0.493 0.493 0.000